LiMgZnGe, optimized geometry, DFT PBE-GGA; Fermi-level density of states = 0.301 states/eV/atom; formation energy from the elements = -159.2 meV per atom; crystal system = cubic
1.0
4.585 0.000 0.000
2.292 3.971 0.000
2.292 1.324 3.744
Ge Mg Zn Li
1 1 1 1
Cartesian
2.292 1.324 0.936
4.585 2.647 1.872
6.877 3.971 2.808
0.000 0.000 0.000


Li2MgZn2Ge2, optimized geometry, DFT PBE-GGA; Fermi-level density of states = 0.186 states/eV/atom; formation energy from the elements = -199.8 meV per atom; crystal system = trigonal
1.0
4.230 0.000 0.000
2.115 3.663 0.000
2.115 1.221 7.747
Li Zn Ge Mg
2 2 2 1
Cartesian
6.345 3.663 3.259
2.115 1.221 4.488
4.230 2.442 2.298
4.230 2.442 5.448
2.115 1.221 1.728
6.345 3.663 6.019
0.000 0.000 0.000


Li12MnGe6, optimized geometry, DFT PBE-GGA; Fermi-level density of states = 0.379 states/eV/atom; formation energy from the elements = -257.1 meV per atom; crystal system = trigonal
1.0
6.749 0.568 -0.202
-0.224 6.769 -0.202
0.505 0.568 6.733
Li Ge Mn
12 6 1
Cartesian
0.189 2.635 0.871
1.138 0.495 2.490
3.491 6.065 2.554
2.514 1.188 0.097
3.901 3.728 1.011
5.891 7.409 3.839
6.840 5.269 5.457
1.345 4.310 3.124
4.515 6.716 6.232
3.538 1.839 3.774
5.684 3.594 3.205
3.128 4.175 5.318
5.922 5.628 1.435
1.939 6.538 4.721
5.090 1.365 1.608
1.678 5.214 0.589
1.107 2.276 4.894
5.351 2.690 5.739
0.000 0.000 0.000


LiMn2Ge, optimized geometry, DFT PBE-GGA; Fermi-level density of states = 0.721 states/eV/atom; formation energy from the elements = -7.1 meV per atom; crystal system = tetragonal
1.0
3.573 0.000 0.000
0.000 3.832 0.000
0.000 0.000 3.832
Mn Li Ge
2 1 1
Cartesian
0.000 1.916 0.000
0.000 0.000 1.916
1.787 0.000 0.000
1.787 1.916 1.916


Which formula does entry 4 have? LiMn2Ge


The highest formation energy from the elements belongs to which entry? LiMn2Ge


Look up the formation energy from the elements of the second one. -199.8 meV per atom